# 1
# LiHoBeCd

A relaxed LiHoBeCd crystal (GGA-PBE, Alexandria via LeMat-Bulk).

Cell and atoms, written as POSCAR:
```
LiHoBeCd
1.0
0.000 3.279 3.279
3.279 0.000 3.279
3.279 3.279 0.000
Li Ho Be Cd
1 1 1 1
Direct
0.000 0.000 0.000
0.250 0.250 0.250
0.500 0.500 0.500
0.750 0.750 0.750
```

Calculated values
E_form, kJ/mol of atoms: -7
Magnetization, μB per formula unit: 0.00
Crystal system: cubic


# 2
# HoMgBeCd

A relaxed HoMgBeCd crystal (GGA-PBE, Alexandria via LeMat-Bulk).

Cell and atoms, written as POSCAR:
```
HoMgBeCd
1.0
0.000 3.430 3.430
3.430 0.000 3.430
3.430 3.430 0.000
Ho Mg Be Cd
1 1 1 1
Direct
0.000 0.000 0.000
0.500 0.500 0.500
0.250 0.250 0.250
0.750 0.750 0.750
```

Calculated values
E_form, kJ/mol of atoms: -2
Magnetization, μB per formula unit: 0.00
Crystal system: cubic